# LaTb6Er

A geometry-optimized LaTb6Er structure (PBE, Alexandria via LeMat-Bulk).

Cell: 5.065 5.065 10.124 Å, 90.00 90.00 90.00°
Atoms (fractional coordinates):
La 0.000 0.000 0.000
Tb 0.500 0.500 0.000
Tb 0.500 0.500 0.500
Tb 0.500 0.000 0.255
Tb 0.500 0.000 0.745
Tb 0.000 0.500 0.255
Tb 0.000 0.500 0.745
Er 0.000 0.000 0.500

Calculated values
The calculation puts the volume at 259.7 Å³/cell. Its offset from the most stable computed form is 0 meV/atom. As for the final energy: -4.632 eV per atom. The value obtained for the size of the total moment is 0.0 Bohr magnetons per cell. Its formation enthalpy at 0 K is 0.22 eV per formula unit.